(1)
Density functional theory data (PBE) for Cs2ErZn2S4 after structural relaxation.

Calculated total energy in eV per atom: -3.97
E_form (uncorrected) in kJ/mol of formula units: -1004
Volume in Å³ per cell: 248

Structure (CIF):
```
data_Cs2ErZn2S4
_chemical_formula_sum 'Cs2 Er1 Zn2 S4'
_symmetry_space_group_name_H-M 'P 1'
_symmetry_Int_Tables_number 1
_cell_length_a 3.933
_cell_length_b 8.385
_cell_length_c 8.379
_cell_angle_alpha 111.81
_cell_angle_beta 103.57
_cell_angle_gamma 90.00
loop_
_symmetry_equiv_pos_as_xyz
'x,y,z'
loop_
_atom_site_label
_atom_site_type_symbol
_atom_site_fract_x
_atom_site_fract_y
_atom_site_fract_z
Cs1 Cs 0.130 0.564 0.260
Cs2 Cs 0.870 0.436 0.740
Er1 Er 0.000 0.000 0.000
Zn1 Zn 0.678 0.023 0.356
Zn2 Zn 0.322 0.977 0.644
S1 S 0.180 0.192 0.359
S2 S 0.820 0.808 0.641
S3 S 0.533 0.803 0.066
S4 S 0.467 0.197 0.934
```



(2)
Density functional theory data (PBE) for RbMnHgCl5 after structural relaxation.

Calculated total energy in eV per atom: -3.59
E_form (uncorrected) in kJ/mol of formula units: -871
Volume in Å³ per cell: 494

Structure (CIF):
```
data_RbMnHgCl5
_chemical_formula_sum 'Rb2 Mn2 Hg2 Cl10'
_symmetry_space_group_name_H-M 'P 1'
_symmetry_Int_Tables_number 1
_cell_length_a 7.694
_cell_length_b 7.694
_cell_length_c 9.437
_cell_angle_alpha 102.61
_cell_angle_beta 102.61
_cell_angle_gamma 107.78
loop_
_symmetry_equiv_pos_as_xyz
'x,y,z'
loop_
_atom_site_label
_atom_site_type_symbol
_atom_site_fract_x
_atom_site_fract_y
_atom_site_fract_z
Rb1 Rb 0.349 0.651 0.250
Rb2 Rb 0.651 0.349 0.750
Mn1 Mn 0.687 0.313 0.250
Mn2 Mn 0.313 0.687 0.750
Hg1 Hg 0.000 0.000 0.500
Hg2 Hg 0.000 0.000 0.000
Cl1 Cl 0.079 0.921 0.250
Cl2 Cl 0.921 0.079 0.750
Cl3 Cl 0.906 0.319 0.110
Cl4 Cl 0.094 0.681 0.890
Cl5 Cl 0.681 0.094 0.390
Cl6 Cl 0.319 0.906 0.610
Cl7 Cl 0.752 0.606 0.434
Cl8 Cl 0.248 0.394 0.566
Cl9 Cl 0.394 0.248 0.066
Cl10 Cl 0.606 0.752 0.934
```



(3)
Density functional theory data (PBE) for Li2TlBr after structural relaxation.

Offset from the most stable computed form in meV/atom: 0.0
Calculated total energy in eV per atom: -2.69
E_form (uncorrected) in kJ/mol of formula units: -280
Volume in Å³ per cell: 91

Structure (CIF):
```
data_Li2TlBr
_chemical_formula_sum 'Li2 Tl1 Br1'
_symmetry_space_group_name_H-M 'P 1'
_symmetry_Int_Tables_number 1
_cell_length_a 3.607
_cell_length_b 3.607
_cell_length_c 8.374
_cell_angle_alpha 77.64
_cell_angle_beta 77.64
_cell_angle_gamma 59.99
loop_
_symmetry_equiv_pos_as_xyz
'x,y,z'
loop_
_atom_site_label
_atom_site_type_symbol
_atom_site_fract_x
_atom_site_fract_y
_atom_site_fract_z
Br1 Br 0.750 0.750 0.750
Li1 Li 0.017 0.017 0.951
Li2 Li 0.483 0.483 0.549
Tl1 Tl 0.250 0.250 0.250
```



(4)
Density functional theory data (PBE) for Nd11Tl9In4 after structural relaxation.

Energy relative to the elements in eV per atom: -0.3737
Calculated total energy in eV per atom: -3.90
Volume in Å³ per cell: 712

Structure (CIF):
```
data_Nd11Tl9In4
_chemical_formula_sum 'Nd11 Tl9 In4'
_symmetry_space_group_name_H-M 'P 1'
_symmetry_Int_Tables_number 1
_cell_length_a 3.803
_cell_length_b 14.053
_cell_length_c 14.053
_cell_angle_alpha 108.59
_cell_angle_beta 90.00
_cell_angle_gamma 90.00
loop_
_symmetry_equiv_pos_as_xyz
'x,y,z'
loop_
_atom_site_label
_atom_site_type_symbol
_atom_site_fract_x
_atom_site_fract_y
_atom_site_fract_z
Nd1 Nd 0.000 0.594 0.939
Nd2 Nd 0.000 0.406 0.061
Nd3 Nd 0.000 0.939 0.594
Nd4 Nd 0.000 0.061 0.406
Nd5 Nd 0.000 0.628 0.372
Nd6 Nd 0.000 0.372 0.628
Nd7 Nd 0.000 0.815 0.185
Nd8 Nd 0.000 0.185 0.815
Nd9 Nd 0.000 0.000 0.000
Nd10 Nd 0.000 0.768 0.768
Nd11 Nd 0.000 0.232 0.232
Tl1 Tl 0.500 0.611 0.158
Tl2 Tl 0.500 0.389 0.842
Tl3 Tl 0.500 0.158 0.611
Tl4 Tl 0.500 0.842 0.389
Tl5 Tl 0.500 0.799 0.982
Tl6 Tl 0.500 0.201 0.018
Tl7 Tl 0.500 0.982 0.799
Tl8 Tl 0.500 0.018 0.201
Tl9 Tl 0.500 0.500 0.500
In1 In 0.500 0.573 0.740
In2 In 0.500 0.427 0.260
In3 In 0.500 0.740 0.573
In4 In 0.500 0.260 0.427
```



(5)
Density functional theory data (PBE) for ReRh2Br after structural relaxation.

Offset from the most stable computed form in meV/atom: 804.1
Calculated total energy in eV per atom: -6.10
E_form (uncorrected) in kJ/mol of formula units: 428
Volume in Å³ per cell: 62

Structure (CIF):
```
data_ReRh2Br
_chemical_formula_sum 'Re1 Rh2 Br1'
_symmetry_space_group_name_H-M 'P 1'
_symmetry_Int_Tables_number 1
_cell_length_a 3.991
_cell_length_b 3.954
_cell_length_c 3.954
_cell_angle_alpha 90.00
_cell_angle_beta 90.00
_cell_angle_gamma 90.00
loop_
_symmetry_equiv_pos_as_xyz
'x,y,z'
loop_
_atom_site_label
_atom_site_type_symbol
_atom_site_fract_x
_atom_site_fract_y
_atom_site_fract_z
Re1 Re 0.500 0.000 0.500
Rh1 Rh 0.000 0.000 0.000
Rh2 Rh 0.000 0.500 0.500
Br1 Br 0.500 0.500 0.000
```



(6)
Density functional theory data (PBE) for PrSnTe3Au after structural relaxation.

Calculated total energy in eV per atom: -4.27
E_form (uncorrected) in kJ/mol of formula units: -400
Volume in Å³ per cell: 384

Structure (CIF):
```
data_PrSnTe3Au
_chemical_formula_sum 'Pr2 Sn2 Te6 Au2'
_symmetry_space_group_name_H-M 'P 1'
_symmetry_Int_Tables_number 1
_cell_length_a 4.309
_cell_length_b 8.906
_cell_length_c 10.098
_cell_angle_alpha 97.98
_cell_angle_beta 90.00
_cell_angle_gamma 90.00
loop_
_symmetry_equiv_pos_as_xyz
'x,y,z'
loop_
_atom_site_label
_atom_site_type_symbol
_atom_site_fract_x
_atom_site_fract_y
_atom_site_fract_z
Pr1 Pr 0.250 0.166 0.268
Pr2 Pr 0.750 0.834 0.732
Sn1 Sn 0.250 0.657 0.156
Sn2 Sn 0.750 0.343 0.844
Te1 Te 0.750 0.915 0.138
Te2 Te 0.250 0.085 0.862
Te3 Te 0.250 0.738 0.491
Te4 Te 0.750 0.262 0.509
Te5 Te 0.750 0.390 0.151
Te6 Te 0.250 0.610 0.849
Au1 Au 0.250 0.075 0.583
Au2 Au 0.750 0.925 0.417
```



(7)
Density functional theory data (PBE) for LiAsHAu2 after structural relaxation.

Calculated total energy in eV per atom: -3.33
Volume in Å³ per cell: 72

Structure (CIF):
```
data_LiAsHAu2
_chemical_formula_sum 'Li1 As1 H1 Au2'
_symmetry_space_group_name_H-M 'P 1'
_symmetry_Int_Tables_number 1
_cell_length_a 4.128
_cell_length_b 4.128
_cell_length_c 4.238
_cell_angle_alpha 90.00
_cell_angle_beta 90.00
_cell_angle_gamma 90.00
loop_
_symmetry_equiv_pos_as_xyz
'x,y,z'
loop_
_atom_site_label
_atom_site_type_symbol
_atom_site_fract_x
_atom_site_fract_y
_atom_site_fract_z
H1 H 0.000 0.000 0.000
As1 As 0.500 0.500 0.500
Au1 Au 0.000 0.500 0.000
Au2 Au 0.500 0.000 0.000
Li1 Li 0.000 0.000 0.500
```



(8)
Density functional theory data (PBE) for CuReRu2 after structural relaxation.

Energy relative to the elements in eV per atom: 0.1997
Offset from the most stable computed form in meV/atom: 73.7
Calculated total energy in eV per atom: -8.57
Volume in Å³ per cell: 56

Structure (CIF):
```
data_CuReRu2
_chemical_formula_sum 'Cu1 Re1 Ru2'
_symmetry_space_group_name_H-M 'P 1'
_symmetry_Int_Tables_number 1
_cell_length_a 8.880
_cell_length_b 8.880
_cell_length_c 8.880
_cell_angle_alpha 17.63
_cell_angle_beta 17.63
_cell_angle_gamma 17.63
loop_
_symmetry_equiv_pos_as_xyz
'x,y,z'
loop_
_atom_site_label
_atom_site_type_symbol
_atom_site_fract_x
_atom_site_fract_y
_atom_site_fract_z
Cu1 Cu 0.501 0.501 0.501
Re1 Re 0.749 0.749 0.749
Ru1 Ru 0.000 0.000 0.000
Ru2 Ru 0.251 0.251 0.251
```



(9)
Density functional theory data (PBE) for TbErOsRh after structural relaxation.

Energy relative to the elements in eV per atom: -0.4902
Calculated total energy in eV per atom: -7.43
Volume in Å³ per cell: 79

Structure (CIF):
```
data_TbErOsRh
_chemical_formula_sum 'Tb1 Er1 Os1 Rh1'
_symmetry_space_group_name_H-M 'P 1'
_symmetry_Int_Tables_number 1
_cell_length_a 4.820
_cell_length_b 4.820
_cell_length_c 4.820
_cell_angle_alpha 60.00
_cell_angle_beta 60.00
_cell_angle_gamma 60.00
loop_
_symmetry_equiv_pos_as_xyz
'x,y,z'
loop_
_atom_site_label
_atom_site_type_symbol
_atom_site_fract_x
_atom_site_fract_y
_atom_site_fract_z
Tb1 Tb 0.250 0.250 0.250
Os1 Os 0.500 0.500 0.500
Rh1 Rh 0.000 0.000 0.000
Er1 Er 0.750 0.750 0.750
```



(10)
Density functional theory data (PBE) for BaTaSbTe2 after structural relaxation.

Offset from the most stable computed form in meV/atom: 2213.4
Calculated total energy in eV per atom: -3.08
E_form (uncorrected) in kJ/mol of formula units: 845
Volume in Å³ per cell: 230

Structure (CIF):
```
data_BaTaSbTe2
_chemical_formula_sum 'Ba1 Ta1 Sb1 Te2'
_symmetry_space_group_name_H-M 'P 1'
_symmetry_Int_Tables_number 1
_cell_length_a 6.171
_cell_length_b 6.171
_cell_length_c 6.033
_cell_angle_alpha 90.00
_cell_angle_beta 90.00
_cell_angle_gamma 90.00
loop_
_symmetry_equiv_pos_as_xyz
'x,y,z'
loop_
_atom_site_label
_atom_site_type_symbol
_atom_site_fract_x
_atom_site_fract_y
_atom_site_fract_z
Sb1 Sb 0.000 0.000 0.500
Te1 Te 0.000 0.500 0.000
Te2 Te 0.500 0.000 0.000
Ba1 Ba 0.000 0.000 0.000
Ta1 Ta 0.500 0.500 0.500
```



(11)
Density functional theory data (PBE) for LiTbMg2Se4 after structural relaxation.

Calculated total energy in eV per atom: -4.40
E_form (uncorrected) in kJ/mol of formula units: -1116
Volume in Å³ per cell: 177

Structure (CIF):
```
data_LiTbMg2Se4
_chemical_formula_sum 'Li1 Tb1 Mg2 Se4'
_symmetry_space_group_name_H-M 'P 1'
_symmetry_Int_Tables_number 1
_cell_length_a 4.013
_cell_length_b 6.807
_cell_length_c 6.847
_cell_angle_alpha 108.49
_cell_angle_beta 90.00
_cell_angle_gamma 90.00
loop_
_symmetry_equiv_pos_as_xyz
'x,y,z'
loop_
_atom_site_label
_atom_site_type_symbol
_atom_site_fract_x
_atom_site_fract_y
_atom_site_fract_z
Li1 Li 0.500 0.500 0.000
Tb1 Tb 0.000 0.000 0.000
Mg1 Mg 0.500 0.000 0.500
Mg2 Mg 0.000 0.500 0.500
Se1 Se 0.500 0.259 0.256
Se2 Se 0.500 0.741 0.744
Se3 Se 0.000 0.247 0.735
Se4 Se 0.000 0.753 0.265
```